Record 1
Crystalline AcNiOs at its relaxed geometry. Source: OQMD via LeMat-Bulk, functional PBE.

```
AcNiOs
1.0
4.3030 -1.5198 0.3035
2.6123 1.2232 3.5493
1.1166 -3.0838 3.1877
Os Ni Ac
1 1 1
direct
0.7500 0.7500 0.7500
0.0000 0.0000 0.0000
0.2500 0.2500 0.2500
```

Output
Formation enthalpy at 0 K   0.626 eV per atom
Symmetry   No. 216
Volume   67.6 Å³ per cell



Record 2
Crystalline AcPaNi at its relaxed geometry. Source: OQMD via LeMat-Bulk, functional PBE.

```
AcPaNi
1.0
0.2761 -4.8303 0.5091
2.0585 -1.9137 3.9709
-2.7501 -2.2574 3.3179
Ac Ni Pa
1 1 1
direct
0.2500 0.2500 0.2500
0.0000 0.0000 0.0000
0.7500 0.7500 0.7500
```

Output
Distance to the lowest polymorph of the same formula   0.0 meV per atom
Formation enthalpy at 0 K   0.391 eV per atom
Symmetry   No. 216
Volume   81.4 Å³ per cell



Record 3
Crystalline AcNiPb at its relaxed geometry. Source: OQMD via LeMat-Bulk, functional PBE.

```
AcNiPb
1.0
0.0000 3.6785 3.6785
3.6785 0.0000 3.6785
3.6785 3.6785 0.0000
Pb Ni Ac
1 1 1
direct
0.7500 0.7500 0.7500
0.2500 0.2500 0.2500
0.0000 0.0000 0.0000
```

Output
Distance to the lowest polymorph of the same formula   239.1 meV per atom
Symmetry   No. 216
Volume   99.6 Å³ per cell



| no. | E_tot (eV/atom) |
| --- | --- |
| 1 | -6.3405 |
| 2 | -5.9985 |
| 3 | -3.9797 |